Material: SrV2O7
Method: DFT, PBE+U
State: optimized geometry

Structure (CIF):
```
data_SrV2O7
_chemical_formula_sum 'Sr1 V2 O7'
_cell_length_a 5.883
_cell_length_b 5.883
_cell_length_c 3.731
_cell_angle_alpha 90.00
_cell_angle_beta 90.00
_cell_angle_gamma 118.22
_space_group_name_H-M_alt 'P 1'
_space_group_IT_number 1
loop_
_space_group_symop_operation_xyz
'x,y,z'
loop_
_atom_site_label
_atom_site_fract_x
_atom_site_fract_y
_atom_site_fract_z
Sr1 0.000 0.000 0.000
V1 0.301 0.699 0.500
V2 0.699 0.301 0.500
O1 0.057 0.337 0.500
O2 0.292 0.708 0.000
O3 0.337 0.057 0.500
O4 0.500 0.500 0.500
O5 0.663 0.943 0.500
O6 0.708 0.292 0.000
O7 0.943 0.663 0.500
```

Output
E_tot = -6.787 eV/atom
Crystal system = orthorhombic
Spin magnetization = 1.80 μB per formula unit